Material: PaOsPd
Method: DFT, PBE-GGA
State: relaxed

Lattice parameters (Å, degrees): 4.153 4.204 6.859 90.00 107.62 90.00
Positions (direct):
Pa 0.609 0.014 0.217
Os 0.746 0.514 0.492
Pd 0.921 0.014 0.841
Pa 0.391 0.514 0.783
Os 0.254 0.014 0.508
Pd 0.079 0.514 0.159

Calculated values
E	-8.963	eV per atom
space-group type	Cmcm
DFT formation energy	-0.32	eV per atom
energy above the most stable polymorph in this dataset	0.014	eV per atom


Material: SmPaOsPd
Method: DFT, PBE-GGA
State: relaxed

Lattice parameters (Å, degrees): 4.943 4.943 4.943 60.00 60.00 60.00
Positions (direct):
Os 0.750 0.750 0.750
Pd 0.250 0.250 0.250
Sm 0.500 0.500 0.500
Pa 0.000 0.000 0.000

Calculated values
E	-7.979	eV per atom
space-group type	F-43m
DFT formation energy	-0.32	eV per atom


> The lowest E belongs to which entry?

PaOsPd


> Look up the E of the first one.

-8.963 eV per atom